CaErGe2, optimized geometry, DFT PBE-GGA; density = 6.3 g cm⁻³; Fermi-level density of states = 2.52 states/eV/cell; formation enthalpy at 0 K = -2.86 eV/f.u.
1.0
-0.227 -1.297 -4.180
3.839 -0.909 0.073
-1.102 -4.356 3.707
Ca Er Ge
1 1 2
direct
0.443 0.500 0.424
0.719 0.000 0.978
0.166 0.500 0.871
0.003 0.000 0.545